Na2HfAu: relaxed, GGA-PBE.

Values from the calculation:
Total magnetic moment = 0.000 μB/atom
E = -3.312 eV per atom
Theoretical density = 8.226 g cm⁻³
Energy relative to the lowest polymorph listed for this composition = 155 meV per atom

a = 6.9817 Å, b = 6.9817 Å, c = 6.9817 Å
α = 90.00°, β = 90.00°, γ = 90.00°
Closest atoms and distances in Å follow each position.
Space group Fm-3m (No. 225)
Unique sites:
Na (0.2500, 0.2500, 0.2500) (multiplicity 8)  4 Hf 3.02, 4 Au 3.02
Hf (0.0000, 0.0000, 0.0000) (multiplicity 4)  8 Na 3.02
Au (0.0000, 0.0000, 0.5000) (multiplicity 4)  8 Na 3.02